Compound: TbThPS
Source: Alexandria
Functional: PBE-GGA
Structure: optimized geometry

Computed properties:
The formation energy without anion corrections comes out at -1.6834 eV per atom. The space group is R3m (160). The value obtained for the magnetic moment is 0.000 μB per atom. For the density of states at the Fermi level, the calculation gives 0.28 states/eV per atom. As for the uncorrected energy: -28.3 eV/cell.

The structure in POSCAR format:
```
TbThPS
1.0
-3.3605 -0.2366 -2.0810
1.3166 -3.1539 2.0005
-1.8459 3.2717 6.3722
Th S P Tb
1 1 1 1
Cartesian
0.6716 -2.7369 2.2823 Th
-3.4453 -0.2272 1.1098 S
-1.8745 1.0219 5.9636 P
-2.6246 1.5371 3.3501 Tb
```